1.
# PBE BeAgPb3, relaxed
data_BeAgPb3
_space_group_name_H-M_alt 'P 1'
_space_group_IT_number 1
_cell_length_a 5.1129
_cell_length_b 5.1129
_cell_length_c 5.1129
_cell_angle_alpha 90.00
_cell_angle_beta 90.00
_cell_angle_gamma 90.00
loop_
_space_group_symop_operation_xyz
'x,y,z'
loop_
_atom_site_label
_atom_site_type_symbol
_atom_site_fract_x
_atom_site_fract_y
_atom_site_fract_z
Pb1 Pb 0.0000 0.5000 0.0000
Pb2 Pb 0.0000 0.0000 0.5000
Pb3 Pb 0.5000 0.0000 0.0000
Be1 Be 0.0000 0.0000 0.0000
Ag1 Ag 0.5000 0.5000 0.5000
# energy above the lowest structure with this stoichiometry	0.0	meV/atom
# energy of formation from the pure elements	429	meV/atom
# space group	No. 221

2.
# PBE Be2AgPb, relaxed
data_Be2AgPb
_space_group_name_H-M_alt 'P 1'
_space_group_IT_number 1
_cell_length_a 4.6446
_cell_length_b 4.6446
_cell_length_c 4.6446
_cell_angle_alpha 60.00
_cell_angle_beta 60.00
_cell_angle_gamma 60.00
loop_
_space_group_symop_operation_xyz
'x,y,z'
loop_
_atom_site_label
_atom_site_type_symbol
_atom_site_fract_x
_atom_site_fract_y
_atom_site_fract_z
Pb1 Pb 0.7500 0.7500 0.7500
Be1 Be 0.0000 0.0000 0.0000
Be2 Be 0.2500 0.2500 0.2500
Ag1 Ag 0.5000 0.5000 0.5000
# energy of formation from the pure elements	802	meV/atom
# space group	No. 216

3.
# PBE BeAgPb2, relaxed
data_BeAgPb2
_space_group_name_H-M_alt 'P 1'
_space_group_IT_number 1
_cell_length_a 4.8243
_cell_length_b 4.8243
_cell_length_c 9.3123
_cell_angle_alpha 74.99
_cell_angle_beta 74.99
_cell_angle_gamma 90.00
loop_
_space_group_symop_operation_xyz
'x,y,z'
loop_
_atom_site_label
_atom_site_type_symbol
_atom_site_fract_x
_atom_site_fract_y
_atom_site_fract_z
Pb1 Pb 0.5935 0.1250 0.2500
Pb2 Pb 0.1565 0.6250 0.2500
Pb3 Pb 0.3750 0.4065 0.7500
Pb4 Pb 0.8750 0.8435 0.7500
Be1 Be 0.5000 0.5000 0.0000
Be2 Be 0.2500 0.7500 0.5000
Ag1 Ag 0.0000 0.0000 0.0000
Ag2 Ag 0.7500 0.2500 0.5000
# energy of formation from the pure elements	536	meV/atom
# space group	No. 122

4.
# PBE Be2Ag2Pb, relaxed
data_Be2Ag2Pb
_space_group_name_H-M_alt 'P 1'
_space_group_IT_number 1
_cell_length_a 3.2336
_cell_length_b 3.2336
_cell_length_c 8.5525
_cell_angle_alpha 79.10
_cell_angle_beta 79.10
_cell_angle_gamma 90.00
loop_
_space_group_symop_operation_xyz
'x,y,z'
loop_
_atom_site_label
_atom_site_type_symbol
_atom_site_fract_x
_atom_site_fract_y
_atom_site_fract_z
Pb1 Pb 0.0000 0.0000 0.0000
Be1 Be 0.7500 0.2500 0.5000
Be2 Be 0.2500 0.7500 0.5000
Ag1 Ag 0.3611 0.3611 0.2777
Ag2 Ag 0.6389 0.6389 0.7223
# energy of formation from the pure elements	257	meV/atom
# space group	No. 139

5.
# PBE Be2SiAgPb, relaxed
data_Be2SiAgPb
_space_group_name_H-M_alt 'P 1'
_space_group_IT_number 1
_cell_length_a 4.2802
_cell_length_b 5.2551
_cell_length_c 4.2802
_cell_angle_alpha 90.00
_cell_angle_beta 90.00
_cell_angle_gamma 90.00
loop_
_space_group_symop_operation_xyz
'x,y,z'
loop_
_atom_site_label
_atom_site_type_symbol
_atom_site_fract_x
_atom_site_fract_y
_atom_site_fract_z
Pb1 Pb 0.5000 0.5000 0.5000
Be1 Be 0.0000 0.0000 0.5000
Be2 Be 0.5000 0.0000 0.0000
Si1 Si 0.0000 0.0000 0.0000
Ag1 Ag 0.0000 0.5000 0.0000
# formation energy without anion corrections	0.624	eV/atom
# space group	No. 123

6.
# PBE Ta2BeAgPb, relaxed
data_Ta2BeAgPb
_space_group_name_H-M_alt 'P 1'
_space_group_IT_number 1
_cell_length_a 5.2167
_cell_length_b 5.0484
_cell_length_c 5.2167
_cell_angle_alpha 90.00
_cell_angle_beta 90.00
_cell_angle_gamma 90.00
loop_
_space_group_symop_operation_xyz
'x,y,z'
loop_
_atom_site_label
_atom_site_type_symbol
_atom_site_fract_x
_atom_site_fract_y
_atom_site_fract_z
Pb1 Pb 0.0000 0.0000 0.0000
Be1 Be 0.5000 0.5000 0.5000
Ag1 Ag 0.0000 0.5000 0.0000
Ta1 Ta 0.0000 0.0000 0.5000
Ta2 Ta 0.5000 0.0000 0.0000
# energy of formation from the pure elements	2405	meV/atom
# space group	No. 123

7.
# PBE Be2AgPbW, relaxed
data_Be2AgPbW
_space_group_name_H-M_alt 'P 1'
_space_group_IT_number 1
_cell_length_a 4.3440
_cell_length_b 4.3440
_cell_length_c 5.1592
_cell_angle_alpha 90.00
_cell_angle_beta 90.00
_cell_angle_gamma 90.00
loop_
_space_group_symop_operation_xyz
'x,y,z'
loop_
_atom_site_label
_atom_site_type_symbol
_atom_site_fract_x
_atom_site_fract_y
_atom_site_fract_z
Pb1 Pb 0.5000 0.5000 0.5000
Be1 Be 0.0000 0.5000 0.0000
Be2 Be 0.5000 0.0000 0.0000
Ag1 Ag 0.0000 0.0000 0.0000
W1 W 0.0000 0.0000 0.5000
# energy of formation from the pure elements	1323	meV/atom
# space group	No. 123

8.
# PBE BeAg3Pd, relaxed
data_BeAg3Pd
_space_group_name_H-M_alt 'P 1'
_space_group_IT_number 1
_cell_length_a 5.0420
_cell_length_b 5.0420
_cell_length_c 5.0420
_cell_angle_alpha 90.00
_cell_angle_beta 90.00
_cell_angle_gamma 90.00
loop_
_space_group_symop_operation_xyz
'x,y,z'
loop_
_atom_site_label
_atom_site_type_symbol
_atom_site_fract_x
_atom_site_fract_y
_atom_site_fract_z
Be1 Be 0.5000 0.5000 0.5000
Pd1 Pd 0.0000 0.0000 0.0000
Ag1 Ag 0.0000 0.5000 0.0000
Ag2 Ag 0.0000 0.0000 0.5000
Ag3 Ag 0.5000 0.0000 0.0000
# energy above the lowest structure with this stoichiometry	797.4	meV/atom
# energy of formation from the pure elements	1181	meV/atom
# space group	No. 221

9.
# PBE BeAg2Pd, relaxed
data_BeAg2Pd
_space_group_name_H-M_alt 'P 1'
_space_group_IT_number 1
_cell_length_a 3.7062
_cell_length_b 3.7062
_cell_length_c 9.8917
_cell_angle_alpha 79.20
_cell_angle_beta 79.20
_cell_angle_gamma 90.00
loop_
_space_group_symop_operation_xyz
'x,y,z'
loop_
_atom_site_label
_atom_site_type_symbol
_atom_site_fract_x
_atom_site_fract_y
_atom_site_fract_z
Be1 Be 0.5000 0.5000 0.0000
Be2 Be 0.2500 0.7500 0.5000
Pd1 Pd 0.0000 0.0000 0.0000
Pd2 Pd 0.7500 0.2500 0.5000
Ag1 Ag 0.6195 0.1250 0.2500
Ag2 Ag 0.1305 0.6250 0.2500
Ag3 Ag 0.3750 0.3805 0.7500
Ag4 Ag 0.8750 0.8695 0.7500
# energy of formation from the pure elements	266	meV/atom
# space group	No. 122

10.
# PBE BeAg3Pd, relaxed
data_BeAg3Pd
_space_group_name_H-M_alt 'P 1'
_space_group_IT_number 1
_cell_length_a 4.3868
_cell_length_b 4.3868
_cell_length_c 4.3868
_cell_angle_alpha 90.00
_cell_angle_beta 90.00
_cell_angle_gamma 90.00
loop_
_space_group_symop_operation_xyz
'x,y,z'
loop_
_atom_site_label
_atom_site_type_symbol
_atom_site_fract_x
_atom_site_fract_y
_atom_site_fract_z
Be1 Be 0.0000 0.0000 0.0000
Pd1 Pd 0.5000 0.5000 0.5000
Ag1 Ag 0.0000 0.5000 0.0000
Ag2 Ag 0.0000 0.0000 0.5000
Ag3 Ag 0.5000 0.0000 0.0000
# energy above the lowest structure with this stoichiometry	0.0	meV/atom
# energy of formation from the pure elements	384	meV/atom
# space group	No. 221

11.
# PBE Be2AgPd, relaxed
data_Be2AgPd
_space_group_name_H-M_alt 'P 1'
_space_group_IT_number 1
_cell_length_a 4.0907
_cell_length_b 4.0907
_cell_length_c 4.0907
_cell_angle_alpha 60.00
_cell_angle_beta 60.00
_cell_angle_gamma 60.00
loop_
_space_group_symop_operation_xyz
'x,y,z'
loop_
_atom_site_label
_atom_site_type_symbol
_atom_site_fract_x
_atom_site_fract_y
_atom_site_fract_z
Be1 Be 0.2500 0.2500 0.2500
Be2 Be 0.7500 0.7500 0.7500
Pd1 Pd 0.0000 0.0000 0.0000
Ag1 Ag 0.5000 0.5000 0.5000
# energy above the lowest structure with this stoichiometry	15.2	meV/atom
# energy of formation from the pure elements	-188	meV/atom
# space group	No. 225

12.
# PBE Be4AgPd5, relaxed
data_Be4AgPd5
_space_group_name_H-M_alt 'P 1'
_space_group_IT_number 1
_cell_length_a 2.8316
_cell_length_b 2.8316
_cell_length_c 15.4440
_cell_angle_alpha 90.00
_cell_angle_beta 90.00
_cell_angle_gamma 90.00
loop_
_space_group_symop_operation_xyz
'x,y,z'
loop_
_atom_site_label
_atom_site_type_symbol
_atom_site_fract_x
_atom_site_fract_y
_atom_site_fract_z
Be1 Be 0.0000 0.0000 0.2213
Be2 Be 0.0000 0.0000 0.4084
Be3 Be 0.0000 0.0000 0.5916
Be4 Be 0.0000 0.0000 0.7787
Ag1 Ag 0.0000 0.0000 0.0000
Pd1 Pd 0.5000 0.5000 0.1376
Pd2 Pd 0.5000 0.5000 0.3187
Pd3 Pd 0.5000 0.5000 0.5000
Pd4 Pd 0.5000 0.5000 0.6813
Pd5 Pd 0.5000 0.5000 0.8624
# energy of formation from the pure elements	-516	meV/atom
# space group	No. 123

The calculation returns the following magnetization values, one per record and in order: 0.00 0.00 0.00 0.00 0.00 1.81 1.30 0.00 0.00 0.00 0.00 0.00 μB/cell.